(1)
Here is a relaxed structure of Cs2BiTeBr3 from the Alexandria database. Energies are from PBE.

Structure (POSCAR):
```
Cs2BiTeBr3
1.0
-1.0300 -0.8021 -5.8777
4.4191 -3.9606 -0.2339
-7.6094 -4.3336 5.0086
Cs Bi Te Br
2 1 1 3
Direct
0.6402 0.6402 0.2803
0.3598 0.3598 0.7197
0.0000 0.0000 0.0000
0.5000 0.0000 0.0000
0.0000 0.5000 0.0000
0.1606 0.1606 0.3213
0.8394 0.8394 0.6787
```

Computed properties:
Magnetic moment   0.00 Bohr magnetons per cell
N(E_F)   1.3 states/eV/cell
Uncorrected formation energy   -1.114 eV per atom



(2)
Here is a relaxed structure of LiHoMgPt from the Alexandria database. Energies are from PBE.

Structure (POSCAR):
```
LiHoMgPt
1.0
4.7638 0.0000 0.0000
2.3819 4.1256 0.0000
2.3819 1.3752 3.8897
Mg Ho Pt Li
1 1 1 1
Direct
0.2500 0.2500 0.2500
0.7500 0.7500 0.7500
0.5000 0.5000 0.5000
0.0000 0.0000 0.0000
```

Computed properties:
Calculated total energy   -16.804 eV/cell
Magnetic moment   0.00 Bohr magnetons per cell
N(E_F)   3.5 states/eV/cell



- Among the records above, which one has the highest N(E_F)?
  LiHoMgPt



- Look up the magnetic moment of the first one.
  0.00 Bohr magnetons per cell